{"formula": "MnPdPt4", "functional": "PBE", "state": "relaxed", "lattice_angstrom": [[4.8316, 0.0000, 0.0000], [0.0000, 5.5853, 0.0000], [-1.6601, 0.0000, 6.8469]], "species": ["Mn", "Mn", "Pd", "Pd", "Pt", "Pt", "Pt", "Pt", "Pt", "Pt", "Pt", "Pt"], "fractional_positions": [[0.2209, 0.2500, 0.1613], [0.7791, 0.7500, 0.8387], [0.2171, 0.7500, 0.1615], [0.7829, 0.2500, 0.8385], [0.0047, 0.2500, 0.4967], [0.2816, 0.5026, 0.8326], [0.2816, 0.9974, 0.8326], [0.5000, 0.0000, 0.5000], [0.5000, 0.5000, 0.5000], [0.7184, 0.0026, 0.1674], [0.7184, 0.4974, 0.1674], [0.9953, 0.7500, 0.5033]], "formation_energy_ev_per_atom": -0.197, "magmom_total_mub_per_fu": 4.5, "energy_ev_per_atom": -6.62, "space_group": "No. 11"}